Record 1
{"formula": "K6TiSe4", "functional": "GGA-PBE", "state": "optimized geometry", "magmom_total_mub_per_atom": 0.15, "final_energy_ev_per_atom": -3.643, "lattice_angstrom": [[10.488, 0.000, 0.000], [-5.244, 9.083, 0.000], [0.000, 0.000, 8.001]], "species": ["K", "K", "K", "K", "K", "K", "K", "K", "K", "K", "K", "K", "Ti", "Ti", "Se", "Se", "Se", "Se", "Se", "Se", "Se", "Se"], "fractional_positions": [[0.061, 0.530, 0.000], [0.137, 0.275, 0.680], [0.137, 0.863, 0.680], [0.275, 0.137, 0.180], [0.470, 0.530, 0.000], [0.470, 0.939, 0.000], [0.530, 0.061, 0.500], [0.530, 0.470, 0.500], [0.725, 0.863, 0.680], [0.863, 0.137, 0.180], [0.863, 0.725, 0.180], [0.939, 0.470, 0.500], [0.333, 0.667, 0.391], [0.667, 0.333, 0.891], [0.201, 0.402, 0.289], [0.201, 0.799, 0.289], [0.333, 0.667, 0.709], [0.402, 0.201, 0.789], [0.598, 0.799, 0.289], [0.667, 0.333, 0.209], [0.799, 0.201, 0.789], [0.799, 0.598, 0.789]]}

Record 2
{"formula": "KTi3Se", "functional": "GGA-PBE", "state": "optimized geometry", "e_above_lowest_polymorph_ev_per_atom": 1.441, "magmom_total_mub_per_atom": 0.48, "lattice_angstrom": [[4.605, 0.000, 0.000], [0.000, 4.605, 0.000], [0.000, 0.000, 4.605]], "species": ["K", "Ti", "Ti", "Ti", "Se"], "fractional_positions": [[0.000, 0.000, 0.000], [0.000, 0.000, 0.500], [0.000, 0.500, 0.000], [0.500, 0.000, 0.000], [0.500, 0.500, 0.500]]}

Record 3
{"formula": "KTiSe3", "functional": "GGA-PBE", "state": "optimized geometry", "e_above_lowest_polymorph_ev_per_atom": 0.097, "magmom_total_mub_per_atom": 0.00, "lattice_angstrom": [[5.052, 0.000, 0.000], [0.000, 5.052, 0.000], [0.000, 0.000, 5.052]], "species": ["K", "Ti", "Se", "Se", "Se"], "fractional_positions": [[0.000, 0.000, 0.000], [0.500, 0.500, 0.500], [0.000, 0.500, 0.500], [0.500, 0.000, 0.500], [0.500, 0.500, 0.000]]}

Record 4
{"formula": "KTiTl2Se4", "functional": "GGA-PBE", "state": "optimized geometry", "magmom_total_mub_per_atom": 0.00, "final_energy_ev_per_atom": -4.200, "lattice_angstrom": [[10.050, 0.000, 0.000], [0.000, 11.745, 0.000], [-5.024, 0.000, 5.028]], "species": ["K", "K", "Ti", "Ti", "Tl", "Tl", "Tl", "Tl", "Se", "Se", "Se", "Se", "Se", "Se", "Se", "Se"], "fractional_positions": [[0.000, 0.000, 0.000], [0.500, 0.500, 0.000], [0.000, 0.250, 0.500], [0.500, 0.750, 0.500], [0.000, 0.500, 0.000], [0.000, 0.750, 0.500], [0.500, 0.000, 0.000], [0.500, 0.250, 0.500], [0.182, 0.357, 0.906], [0.225, 0.143, 0.543], [0.275, 0.643, 0.457], [0.318, 0.857, 0.094], [0.682, 0.857, 0.906], [0.725, 0.643, 0.543], [0.775, 0.143, 0.457], [0.818, 0.357, 0.094]]}

Record 5
{"formula": "K3Tm2TiSe6", "functional": "GGA-PBE", "state": "optimized geometry", "magmom_total_mub_per_atom": 0.08, "final_energy_ev_per_atom": -4.954, "lattice_angstrom": [[3.526, -6.109, 0.000], [3.526, 6.109, 0.000], [-2.357, 0.000, 7.647]], "species": ["K", "K", "K", "Tm", "Tm", "Ti", "Se", "Se", "Se", "Se", "Se", "Se"], "fractional_positions": [[0.000, 0.000, 0.000], [0.330, 0.670, 0.000], [0.670, 0.330, 0.000], [0.166, 0.834, 0.500], [0.834, 0.166, 0.500], [0.500, 0.500, 0.500], [0.116, 0.434, 0.302], [0.249, 0.249, 0.699], [0.434, 0.116, 0.302], [0.566, 0.884, 0.698], [0.751, 0.751, 0.301], [0.884, 0.566, 0.698]]}

Record 6
{"formula": "K3Tm3TiSe8", "functional": "GGA-PBE", "state": "optimized geometry", "magmom_total_mub_per_atom": 0.00, "final_energy_ev_per_atom": -5.094, "lattice_angstrom": [[4.036, 2.330, 7.845], [-4.036, 2.330, 7.845], [0.000, -4.661, 7.845]], "species": ["K", "K", "K", "Tm", "Tm", "Tm", "Ti", "Se", "Se", "Se", "Se", "Se", "Se", "Se", "Se"], "fractional_positions": [[0.000, 0.500, 0.500], [0.500, 0.000, 0.500], [0.500, 0.500, 0.000], [0.000, 0.000, 0.500], [0.000, 0.500, 0.000], [0.500, 0.000, 0.000], [0.500, 0.500, 0.500], [0.235, 0.235, 0.235], [0.252, 0.719, 0.719], [0.281, 0.281, 0.748], [0.281, 0.748, 0.281], [0.719, 0.252, 0.719], [0.719, 0.719, 0.252], [0.748, 0.281, 0.281], [0.765, 0.765, 0.765]]}

Record 7
{"formula": "K3U2TiSe6", "functional": "GGA-PBE", "state": "optimized geometry", "magmom_total_mub_per_atom": 0.58, "final_energy_ev_per_atom": -5.777, "lattice_angstrom": [[3.540, -6.134, 0.000], [3.540, 6.134, 0.000], [-2.369, 0.000, 7.759]], "species": ["K", "K", "K", "U", "U", "Ti", "Se", "Se", "Se", "Se", "Se", "Se"], "fractional_positions": [[0.000, 0.000, 0.000], [0.330, 0.670, 0.000], [0.670, 0.330, 0.000], [0.166, 0.834, 0.500], [0.834, 0.166, 0.500], [0.500, 0.500, 0.500], [0.115, 0.432, 0.297], [0.251, 0.251, 0.704], [0.432, 0.115, 0.297], [0.568, 0.885, 0.703], [0.749, 0.749, 0.296], [0.885, 0.568, 0.703]]}

Record 8
{"formula": "K3UTi2Se6", "functional": "GGA-PBE", "state": "optimized geometry", "magmom_total_mub_per_atom": 0.42, "final_energy_ev_per_atom": -5.483, "lattice_angstrom": [[3.439, -5.977, 0.000], [3.439, 5.977, 0.000], [-2.310, 0.000, 7.677]], "species": ["K", "K", "K", "U", "Ti", "Ti", "Se", "Se", "Se", "Se", "Se", "Se"], "fractional_positions": [[0.000, 0.000, 0.000], [0.337, 0.663, 0.000], [0.663, 0.337, 0.000], [0.500, 0.500, 0.500], [0.170, 0.830, 0.500], [0.830, 0.170, 0.500], [0.083, 0.434, 0.303], [0.213, 0.213, 0.693], [0.434, 0.083, 0.303], [0.566, 0.917, 0.697], [0.787, 0.787, 0.307], [0.917, 0.566, 0.697]]}

Record 9
{"formula": "K2UTiSe4", "functional": "GGA-PBE", "state": "optimized geometry", "magmom_total_mub_per_atom": 0.50, "final_energy_ev_per_atom": -5.626, "lattice_angstrom": [[6.913, 0.000, 0.000], [0.000, 4.074, 0.000], [-2.357, 0.000, 7.730]], "species": ["K", "K", "U", "Ti", "Se", "Se", "Se", "Se"], "fractional_positions": [[0.000, 0.000, 0.000], [0.500, 0.500, 0.000], [0.000, 0.500, 0.500], [0.500, 0.000, 0.500], [0.251, 0.000, 0.705], [0.282, 0.500, 0.305], [0.718, 0.500, 0.695], [0.749, 0.000, 0.295]]}

Record 10
{"formula": "KTiVSe3", "functional": "GGA-PBE", "state": "optimized geometry", "magmom_total_mub_per_atom": 0.00, "final_energy_ev_per_atom": -5.777, "lattice_angstrom": [[9.020, 0.000, 0.000], [0.000, 3.627, 0.000], [-4.236, 0.000, 8.676]], "species": ["K", "K", "Ti", "Ti", "V", "V", "Se", "Se", "Se", "Se", "Se", "Se"], "fractional_positions": [[0.215, 0.250, 0.246], [0.785, 0.750, 0.754], [0.343, 0.750, 0.861], [0.657, 0.250, 0.139], [0.078, 0.250, 0.598], [0.922, 0.750, 0.402], [0.131, 0.250, 0.866], [0.234, 0.750, 0.544], [0.461, 0.750, 0.153], [0.539, 0.250, 0.847], [0.766, 0.250, 0.456], [0.869, 0.750, 0.134]]}

Record 11
{"formula": "K3Ti3VSe8", "functional": "GGA-PBE", "state": "optimized geometry", "magmom_total_mub_per_atom": 0.25, "final_energy_ev_per_atom": -5.397, "lattice_angstrom": [[3.721, 2.148, 7.842], [-3.721, 2.148, 7.842], [0.000, -4.296, 7.842]], "species": ["K", "K", "K", "Ti", "Ti", "Ti", "V", "Se", "Se", "Se", "Se", "Se", "Se", "Se", "Se"], "fractional_positions": [[0.000, 0.500, 0.500], [0.500, 0.000, 0.500], [0.500, 0.500, 0.000], [0.000, 0.000, 0.500], [0.000, 0.500, 0.000], [0.500, 0.000, 0.000], [0.500, 0.500, 0.500], [0.227, 0.730, 0.730], [0.230, 0.230, 0.230], [0.270, 0.270, 0.773], [0.270, 0.773, 0.270], [0.730, 0.227, 0.730], [0.730, 0.730, 0.227], [0.770, 0.770, 0.770], [0.773, 0.270, 0.270]]}

Record 12
{"formula": "K3TiV2Se6", "functional": "GGA-PBE", "state": "optimized geometry", "magmom_total_mub_per_atom": 0.42, "final_energy_ev_per_atom": -5.187, "lattice_angstrom": [[3.334, -5.781, 0.000], [3.334, 5.781, 0.000], [-2.226, 0.000, 7.532]], "species": ["K", "K", "K", "Ti", "V", "V", "Se", "Se", "Se", "Se", "Se", "Se"], "fractional_positions": [[0.000, 0.000, 0.000], [0.333, 0.667, 0.000], [0.667, 0.333, 0.000], [0.500, 0.500, 0.500], [0.167, 0.833, 0.500], [0.833, 0.167, 0.500], [0.105, 0.438, 0.314], [0.228, 0.228, 0.686], [0.438, 0.105, 0.314], [0.562, 0.895, 0.686], [0.772, 0.772, 0.314], [0.895, 0.562, 0.686]]}